# 1
Fe8Co4Cu | PBE-GGA | optimized geometry

Unit cell a=8.3138 b=8.3138 c=8.3138 alpha=34.31 beta=34.31 gamma=34.31
Closest atoms and distances in Å follow each position.
Fractional positions:
Fe 0.1879 0.1879 0.1879  12 Fe 2.74-3.00, 3 Cu 2.88
Fe 0.2364 0.7514 0.7514  1 Cu 2.37, 4 Fe 2.38-2.53, 3 Co 2.46-2.49
Fe 0.2486 0.2486 0.7636  1 Cu 2.37, 4 Fe 2.38-2.53, 3 Co 2.46-2.49
Fe 0.2486 0.7636 0.2486  1 Cu 2.37, 4 Fe 2.38-2.53, 3 Co 2.46-2.49
Fe 0.7514 0.2364 0.7514  1 Cu 2.37, 4 Fe 2.38-2.53, 3 Co 2.46-2.49
Fe 0.7514 0.7514 0.2364  1 Cu 2.37, 4 Fe 2.38-2.53, 3 Co 2.46-2.49
Fe 0.7636 0.2486 0.2486  1 Cu 2.37, 4 Fe 2.38-2.53, 3 Co 2.46-2.49
Fe 0.8121 0.8121 0.8121  12 Fe 2.74-3.00, 3 Cu 2.88
Co 0.0000 0.0000 0.0000  6 Co 2.45, 6 Fe 2.46
Co 0.0000 0.5000 0.5000  6 Co 2.45, 4 Fe 2.49
Co 0.5000 0.0000 0.5000  6 Co 2.45, 4 Fe 2.49
Co 0.5000 0.5000 0.0000  6 Co 2.45, 4 Fe 2.49
Cu 0.5000 0.5000 0.5000  6 Fe 2.37

Calculated values
Uncorrected energy: -96.03 eV for the cell shown

***

# 2
FeCoCu | PBE-GGA | optimized geometry

Unit cell a=5.4688 b=5.4688 c=5.4688 alpha=90.00 beta=90.00 gamma=90.00
Closest atoms and distances in Å follow each position.
Fractional positions:
Fe 0.0000 0.0000 0.0000  4 Co 2.37
Fe 0.0000 0.5000 0.5000  4 Co 2.37
Fe 0.5000 0.0000 0.5000  4 Co 2.37
Fe 0.5000 0.5000 0.0000  4 Co 2.37
Co 0.2500 0.2500 0.2500  4 Fe 2.37, 4 Cu 2.37
Co 0.2500 0.7500 0.7500  4 Fe 2.37, 4 Cu 2.37
Co 0.7500 0.2500 0.7500  4 Fe 2.37, 4 Cu 2.37
Co 0.7500 0.7500 0.2500  4 Fe 2.37, 4 Cu 2.37
Cu 0.0000 0.0000 0.5000  4 Co 2.37
Cu 0.0000 0.5000 0.0000  4 Co 2.37
Cu 0.5000 0.0000 0.0000  4 Co 2.37
Cu 0.5000 0.5000 0.5000  4 Co 2.37

Calculated values
Relative energy among the computed polymorphs: 1.450 eV/f.u.
Uncorrected energy: -71.94 eV for the cell shown

***

# 3
FeCoCu2 | PBE-GGA | optimized geometry

Unit cell a=8.6273 b=2.5102 c=4.3638 alpha=90.00 beta=99.60 gamma=90.00
Closest atoms and distances in Å follow each position.
Fractional positions:
Fe 0.0000 0.0000 0.0000  2 Fe 2.51, 4 Co 2.52, 6 Cu 2.57-2.59
Fe 0.5000 0.5000 0.0000  2 Fe 2.51, 4 Co 2.52, 6 Cu 2.57-2.59
Co 0.0000 0.5000 0.5000  2 Co 2.51, 4 Fe 2.52, 6 Cu 2.56-2.58
Co 0.5000 0.0000 0.5000  2 Co 2.51, 4 Fe 2.52, 6 Cu 2.56-2.58
Cu 0.2485 0.0000 0.7485  6 Cu 2.51-2.53, 3 Co 2.56-2.58, 3 Fe 2.57-2.59
Cu 0.2515 0.5000 0.2515  6 Cu 2.51-2.53, 3 Co 2.56-2.58, 3 Fe 2.57-2.59
Cu 0.7485 0.5000 0.7485  6 Cu 2.51-2.53, 3 Co 2.56-2.58, 3 Fe 2.57-2.59
Cu 0.7515 0.0000 0.2515  6 Cu 2.51-2.53, 3 Co 2.56-2.58, 3 Fe 2.57-2.59

Calculated values
Relative energy among the computed polymorphs: 0.142 eV/f.u.
Uncorrected energy: -46.55 eV for the cell shown

***

# 4
FeCoCu2 | PBE-GGA | optimized geometry

Unit cell a=6.5702 b=6.5702 c=4.7933 alpha=90.00 beta=90.00 gamma=90.00
Closest atoms and distances in Å follow each position.
Fractional positions:
Fe 0.0000 0.0000 0.0000  2 Co 2.40, 4 Cu 2.42
Fe 0.0000 0.5000 0.2500  2 Co 2.40, 4 Cu 2.42
Fe 0.5000 0.0000 0.7500  2 Co 2.40, 4 Cu 2.42
Fe 0.5000 0.5000 0.5000  2 Co 2.40, 4 Cu 2.42
Co 0.0000 0.0000 0.5000  4 Cu 2.38, 2 Fe 2.40
Co 0.0000 0.5000 0.7500  4 Cu 2.38, 2 Fe 2.40
Co 0.5000 0.0000 0.2500  4 Cu 2.38, 2 Fe 2.40
Co 0.5000 0.5000 0.0000  4 Cu 2.38, 2 Fe 2.40
Cu 0.2450 0.7500 0.6250  2 Co 2.38, 2 Cu 2.40, 2 Fe 2.42
Cu 0.2500 0.2450 0.3750  2 Co 2.38, 2 Cu 2.40, 2 Fe 2.42
Cu 0.2500 0.2550 0.8750  2 Co 2.38, 2 Cu 2.40, 2 Fe 2.42
Cu 0.2550 0.7500 0.1250  2 Co 2.38, 2 Cu 2.40, 2 Fe 2.42
Cu 0.7450 0.2500 0.1250  2 Co 2.38, 2 Cu 2.40, 2 Fe 2.42
Cu 0.7500 0.7450 0.8750  2 Co 2.38, 2 Cu 2.40, 2 Fe 2.42
Cu 0.7500 0.7550 0.3750  2 Co 2.38, 2 Cu 2.40, 2 Fe 2.42
Cu 0.7550 0.2500 0.6250  2 Co 2.38, 2 Cu 2.40, 2 Fe 2.42

Calculated values
Relative energy among the computed polymorphs: 1.920 eV/f.u.
Uncorrected energy: -85.99 eV for the cell shown

***

# 5
FeCoCu2 | PBE-GGA | optimized geometry

Unit cell a=8.3558 b=2.4849 c=4.5287 alpha=90.00 beta=97.84 gamma=90.00
Closest atoms and distances in Å follow each position.
Fractional positions:
Fe 0.0000 0.0000 0.0000  3 Co 2.45-2.54, 2 Fe 2.48, 7 Cu 2.55-2.60
Fe 0.5000 0.5000 0.0000  3 Co 2.45-2.54, 2 Fe 2.48, 7 Cu 2.55-2.60
Co 0.2484 0.0000 0.7689  3 Fe 2.45-2.54, 2 Co 2.48, 7 Cu 2.56-2.60
Co 0.7484 0.5000 0.7689  3 Fe 2.45-2.54, 2 Co 2.48, 7 Cu 2.56-2.60
Cu 0.0005 0.5000 0.5045  5 Cu 2.48-2.54, 3 Co 2.56-2.57, 4 Fe 2.57-2.60
Cu 0.2505 0.5000 0.2662  5 Cu 2.48-2.54, 3 Fe 2.55-2.59, 4 Co 2.57-2.60
Cu 0.5005 0.0000 0.5045  5 Cu 2.48-2.54, 3 Co 2.56-2.57, 4 Fe 2.57-2.60
Cu 0.7505 0.0000 0.2662  5 Cu 2.48-2.54, 3 Fe 2.55-2.59, 4 Co 2.57-2.60

Calculated values
Relative energy among the computed polymorphs: 0.142 eV/f.u.
Uncorrected energy: -46.55 eV for the cell shown

***

# 6
FeCoCu2 | PBE-GGA | optimized geometry

Unit cell a=4.9655 b=7.5763 c=2.4884 alpha=90.00 beta=90.00 gamma=90.00
Closest atoms and distances in Å follow each position.
Fractional positions:
Fe 0.0000 0.0000 0.0000  2 Co 2.48, 2 Fe 2.49, 8 Cu 2.58
Fe 0.5000 0.5000 0.0000  2 Co 2.48, 2 Fe 2.49, 8 Cu 2.58
Co 0.0000 0.5000 0.0000  2 Fe 2.48, 2 Co 2.49, 8 Cu 2.58
Co 0.5000 0.0000 0.0000  2 Fe 2.48, 2 Co 2.49, 8 Cu 2.58
Cu 0.2500 0.2500 0.5000  4 Cu 2.48-2.49, 4 Fe 2.58, 4 Co 2.58
Cu 0.2500 0.7500 0.5000  4 Cu 2.48-2.49, 4 Co 2.58, 4 Fe 2.58
Cu 0.7500 0.2500 0.5000  4 Cu 2.48-2.49, 4 Fe 2.58, 4 Co 2.58
Cu 0.7500 0.7500 0.5000  4 Cu 2.48-2.49, 4 Fe 2.58, 4 Co 2.58

Calculated values
Relative energy among the computed polymorphs: 0.220 eV/f.u.
Uncorrected energy: -46.40 eV for the cell shown

***

# 7
FeCoCu2 | PBE-GGA | optimized geometry

Unit cell a=2.9166 b=2.9166 c=5.5514 alpha=90.00 beta=90.00 gamma=90.00
Closest atoms and distances in Å follow each position.
Fractional positions:
Fe 0.0000 0.0000 0.0000  4 Co 2.41, 4 Cu 2.53
Co 0.5000 0.5000 0.2255  4 Fe 2.41, 4 Cu 2.52
Cu 0.0000 0.0000 0.4870  4 Cu 2.48, 4 Co 2.52, 1 Fe 2.70
Cu 0.5000 0.5000 0.7354  4 Cu 2.48, 4 Fe 2.53, 1 Co 2.72

Calculated values
Relative energy among the computed polymorphs: 0.074 eV/f.u.
Uncorrected energy: -23.34 eV for the cell shown

***

# 8
FeCoCu2 | PBE-GGA | optimized geometry

Unit cell a=2.5061 b=2.5061 c=25.5226 alpha=90.00 beta=90.00 gamma=120.00
Closest atoms and distances in Å follow each position.
Fractional positions:
Fe 0.0000 0.0000 0.0000  6 Fe 2.51, 6 Cu 2.59
Fe 0.3333 0.6667 0.6667  6 Fe 2.51, 6 Cu 2.59
Fe 0.6667 0.3333 0.3333  6 Fe 2.51, 6 Cu 2.59
Co 0.0000 0.0000 0.5000  6 Co 2.51, 6 Cu 2.56
Co 0.3333 0.6667 0.1667  6 Co 2.51, 6 Cu 2.56
Co 0.6667 0.3333 0.8333  6 Co 2.51, 6 Cu 2.56
Cu 0.0000 0.0000 0.2493  6 Cu 2.51, 3 Co 2.56, 3 Fe 2.59
Cu 0.0000 0.0000 0.7507  6 Cu 2.51, 3 Co 2.56, 3 Fe 2.59
Cu 0.3333 0.6667 0.4174  6 Cu 2.51, 3 Co 2.56, 3 Fe 2.59
Cu 0.3333 0.6667 0.9160  6 Cu 2.51, 3 Co 2.56, 3 Fe 2.59
Cu 0.6667 0.3333 0.0840  6 Cu 2.51, 3 Co 2.56, 3 Fe 2.59
Cu 0.6667 0.3333 0.5826  6 Cu 2.51, 3 Co 2.56, 3 Fe 2.59

Calculated values
Relative energy among the computed polymorphs: 0.175 eV/f.u.
Uncorrected energy: -69.73 eV for the cell shown

***

# 9
FeCoCu | PBE-GGA | optimized geometry

Unit cell a=2.8989 b=3.9949 c=12.1079 alpha=90.00 beta=90.00 gamma=90.00
Closest atoms and distances in Å follow each position.
Fractional positions:
Fe 0.0000 0.0000 0.0000  2 Co 2.42, 4 Fe 2.47, 2 Cu 2.52
Fe 0.0000 0.5000 0.5000  2 Co 2.42, 4 Fe 2.47, 2 Cu 2.52
Fe 0.5000 0.0000 0.5000  2 Co 2.42, 4 Fe 2.47, 2 Cu 2.52
Fe 0.5000 0.5000 0.0000  2 Co 2.42, 4 Fe 2.47, 2 Cu 2.52
Co 0.0000 0.0000 0.6599  2 Fe 2.42, 4 Co 2.47, 2 Cu 2.51
Co 0.0000 0.5000 0.1599  2 Fe 2.42, 4 Co 2.47, 2 Cu 2.51
Co 0.5000 0.0000 0.1599  2 Fe 2.42, 4 Co 2.47, 2 Cu 2.51
Co 0.5000 0.5000 0.6599  2 Fe 2.42, 4 Co 2.47, 2 Cu 2.51
Cu 0.0000 0.0000 0.3295  4 Cu 2.47, 2 Co 2.51, 2 Fe 2.52
Cu 0.0000 0.5000 0.8295  4 Cu 2.47, 2 Co 2.51, 2 Fe 2.52
Cu 0.5000 0.0000 0.8295  4 Cu 2.47, 2 Co 2.51, 2 Fe 2.52
Cu 0.5000 0.5000 0.3295  4 Cu 2.47, 2 Co 2.51, 2 Fe 2.52

Calculated values
Relative energy among the computed polymorphs: 0.094 eV/f.u.
Uncorrected energy: -77.36 eV for the cell shown

***

# 10
Fe2Co2Cu | PBE-GGA | optimized geometry

Unit cell a=6.8171 b=6.8171 c=2.6005 alpha=90.00 beta=90.00 gamma=90.00
Closest atoms and distances in Å follow each position.
Fractional positions:
Fe 0.1416 0.3584 0.0000  6 Co 2.35-2.41, 2 Fe 2.60, 2 Cu 2.63
Fe 0.3584 0.8584 0.0000  6 Co 2.35-2.41, 2 Fe 2.60, 2 Cu 2.63
Fe 0.6416 0.1416 0.0000  6 Co 2.35-2.41, 2 Fe 2.60, 2 Cu 2.63
Fe 0.8584 0.6416 0.0000  6 Co 2.35-2.41, 2 Fe 2.60, 2 Cu 2.63
Co 0.1551 0.6551 0.5000  6 Fe 2.35-2.41, 2 Co 2.60
Co 0.3449 0.1551 0.5000  6 Fe 2.35-2.41, 2 Co 2.60
Co 0.6551 0.8449 0.5000  6 Fe 2.35-2.41, 2 Co 2.60
Co 0.8449 0.3449 0.5000  6 Fe 2.35-2.41, 2 Co 2.60
Cu 0.0000 0.0000 0.0000  2 Cu 2.60, 4 Fe 2.63, 8 Co 2.89
Cu 0.5000 0.5000 0.0000  2 Cu 2.60, 4 Fe 2.63, 8 Co 2.89

Calculated values
Uncorrected energy: -68.11 eV for the cell shown

***

# 11
FeCoCu | PBE-GGA | optimized geometry

Unit cell a=2.4639 b=4.1017 c=6.9304 alpha=90.00 beta=93.98 gamma=90.00
Closest atoms and distances in Å follow each position.
Fractional positions:
Fe 0.1793 0.2500 0.0911  3 Co 2.40-2.42, 4 Fe 2.46-2.54, 1 Cu 2.58
Fe 0.8207 0.7500 0.9089  3 Co 2.40-2.42, 4 Fe 2.46-2.54, 1 Cu 2.58
Co 0.4582 0.2500 0.7657  3 Fe 2.40-2.42, 2 Co 2.46, 3 Cu 2.51-2.54
Co 0.5418 0.7500 0.2343  3 Fe 2.40-2.42, 2 Co 2.46, 3 Cu 2.51-2.54
Cu 0.2026 0.7500 0.5716  6 Cu 2.46-2.75, 4 Co 2.51-2.75, 2 Fe 2.58-2.70
Cu 0.7974 0.2500 0.4284  6 Cu 2.46-2.75, 4 Co 2.51-2.75, 2 Fe 2.58-2.70

Calculated values
Relative energy among the computed polymorphs: 0.000 eV/f.u.
Uncorrected energy: -38.87 eV for the cell shown

***

# 12
In2FeCoCu | PBE-GGA | optimized geometry

Unit cell a=4.8069 b=4.8069 c=4.4727 alpha=90.00 beta=90.00 gamma=90.00
Closest atoms and distances in Å follow each position.
Fractional positions:
In 0.0000 0.5000 0.0000  2 Co 2.40
In 0.5000 0.0000 0.0000  2 Co 2.40
Fe 0.0000 0.0000 0.5000  8 In 3.28, 4 Cu 3.40
Co 0.5000 0.5000 0.0000  2 Cu 2.24, 4 In 2.40
Cu 0.5000 0.5000 0.5000  2 Co 2.24

Calculated values
Uncorrected energy: -20.87 eV for the cell shown